# 1
Material: CaScMo2
Method: DFT, GGA-PBE
State: optimized geometry

The value obtained for the energy of formation from the pure elements is 0.59 eV/atom.

Unit cell a=5.674 b=9.806 c=2.816 alpha=90.00 beta=97.70 gamma=90.00
Sites, in units of the cell vectors:
Ca  0.000  0.000  0.000
Ca  0.500  0.500  0.000
Sc  0.000  0.500  0.000
Sc  0.500  0.000  0.000
Mo  0.250  0.250  0.500
Mo  0.250  0.750  0.500
Mo  0.750  0.250  0.500
Mo  0.750  0.750  0.500


# 2
Material: Ba2SrHgS
Method: DFT, GGA-PBE
State: optimized geometry

Unit cell a=5.993 b=5.993 c=6.941 alpha=90.00 beta=90.00 gamma=90.00
Sites, in units of the cell vectors:
Ba  0.000  0.500  0.000
Ba  0.500  0.000  0.000
Sr  0.000  0.000  0.500
Hg  0.500  0.500  0.500
S  0.500  0.500  0.000


# 3
Material: CaDy2Ho
Method: DFT, GGA-PBE
State: optimized geometry

The value obtained for the energy of formation from the pure elements is 0.14 eV/atom.

Unit cell a=5.092 b=5.092 c=5.076 alpha=90.00 beta=90.00 gamma=90.00
Sites, in units of the cell vectors:
Ca  0.000  0.000  0.000
Dy  0.000  0.500  0.500
Dy  0.500  0.000  0.500
Ho  0.500  0.500  0.000


# 4
Material: Na2TaSeO
Method: DFT, GGA-PBE
State: optimized geometry

Unit cell a=5.241 b=5.241 c=4.914 alpha=90.00 beta=90.00 gamma=90.00
Sites, in units of the cell vectors:
Na  0.000  0.500  0.000
Na  0.500  0.000  0.000
Ta  0.000  0.000  0.500
Se  0.000  0.000  0.000
O  0.500  0.500  0.500


# 5
Material: Dy6P2S3I
Method: DFT, GGA-PBE
State: optimized geometry

Unit cell a=8.944 b=8.944 c=8.119 alpha=102.13 beta=102.13 gamma=25.83
Sites, in units of the cell vectors:
Dy  0.006  0.006  0.292
Dy  0.317  0.317  0.894
Dy  0.332  0.332  0.422
Dy  0.668  0.668  0.578
Dy  0.683  0.683  0.106
Dy  0.994  0.994  0.708
P  0.168  0.168  0.333
P  0.832  0.832  0.667
S  0.159  0.159  0.835
S  0.500  0.500  0.500
S  0.841  0.841  0.165
I  0.500  0.500  0.000


# 6
Material: AcIn3Ga
Method: DFT, GGA-PBE
State: optimized geometry

The value obtained for the energy of formation from the pure elements is -0.31 eV/atom.

Unit cell a=6.600 b=6.574 c=7.089 alpha=90.00 beta=114.80 gamma=90.00
Sites, in units of the cell vectors:
Ac  0.021  0.250  0.285
Ac  0.979  0.750  0.715
In  0.200  0.250  0.881
In  0.499  0.503  0.252
In  0.499  0.997  0.252
In  0.501  0.003  0.748
In  0.501  0.497  0.748
In  0.800  0.750  0.119
Ga  0.239  0.750  0.396
Ga  0.761  0.250  0.604


# 7
Material: RbCrCuB2
Method: DFT, GGA-PBE
State: optimized geometry

The value obtained for the energy of formation from the pure elements is 3.21 eV/atom.

Unit cell a=4.865 b=4.865 c=5.423 alpha=90.00 beta=90.00 gamma=90.00
Sites, in units of the cell vectors:
Rb  0.000  0.000  0.000
Cr  0.000  0.000  0.500
Cu  0.500  0.500  0.500
B  0.000  0.500  0.000
B  0.500  0.000  0.000


# 8
Material: SmTiP2
Method: DFT, GGA-PBE
State: optimized geometry

The value obtained for the energy of formation from the pure elements is -1.27 eV/atom.

Unit cell a=3.795 b=3.795 c=18.724 alpha=90.00 beta=90.00 gamma=120.00
Sites, in units of the cell vectors:
Sm  0.000  0.000  0.000
Sm  0.333  0.667  0.667
Sm  0.667  0.333  0.333
Ti  0.000  0.000  0.500
Ti  0.333  0.667  0.167
Ti  0.667  0.333  0.833
P  0.000  0.000  0.237
P  0.000  0.000  0.763
P  0.333  0.667  0.429
P  0.333  0.667  0.904
P  0.667  0.333  0.096
P  0.667  0.333  0.571


# 9
Material: K2MgSc
Method: DFT, GGA-PBE
State: optimized geometry

The value obtained for the energy of formation from the pure elements is 0.39 eV/atom.

Unit cell a=3.628 b=4.946 c=20.637 alpha=90.00 beta=90.00 gamma=90.00
Sites, in units of the cell vectors:
K  0.000  0.000  0.158
K  0.000  0.000  0.842
K  0.500  0.500  0.342
K  0.500  0.500  0.658
Mg  0.000  0.500  0.500
Mg  0.500  0.000  0.000
Sc  0.000  0.500  0.000
Sc  0.500  0.000  0.500


# 10
Material: Li3Pu2Br8
Method: DFT, GGA-PBE
State: optimized geometry

Unit cell a=8.352 b=8.352 c=6.902 alpha=106.23 beta=106.23 gamma=56.61
Sites, in units of the cell vectors:
Li  0.000  0.000  0.000
Li  0.256  0.744  0.500
Li  0.744  0.256  0.500
Pu  0.258  0.258  0.818
Pu  0.742  0.742  0.182
Br  0.108  0.108  0.416
Br  0.120  0.644  0.087
Br  0.356  0.880  0.913
Br  0.389  0.389  0.581
Br  0.611  0.611  0.419
Br  0.644  0.120  0.087
Br  0.880  0.356  0.913
Br  0.892  0.892  0.584


# 11
Material: Y2TlPd4
Method: DFT, GGA-PBE
State: optimized geometry

The value obtained for the energy of formation from the pure elements is -0.69 eV/atom.

Unit cell a=4.087 b=4.087 c=18.320 alpha=90.00 beta=90.00 gamma=90.00
Sites, in units of the cell vectors:
Y  0.000  0.000  0.128
Y  0.000  0.000  0.872
Y  0.500  0.500  0.372
Y  0.500  0.500  0.628
Tl  0.000  0.000  0.500
Tl  0.500  0.500  0.000
Pd  0.000  0.000  0.353
Pd  0.000  0.000  0.647
Pd  0.000  0.500  0.250
Pd  0.000  0.500  0.750
Pd  0.500  0.000  0.250
Pd  0.500  0.000  0.750
Pd  0.500  0.500  0.147
Pd  0.500  0.500  0.853


# 12
Material: RbNa2AlPt
Method: DFT, GGA-PBE
State: optimized geometry

The value obtained for the energy of formation from the pure elements is 0.46 eV/atom.

Unit cell a=5.541 b=5.541 c=6.283 alpha=90.00 beta=90.00 gamma=90.00
Sites, in units of the cell vectors:
Rb  0.000  0.000  0.000
Na  0.000  0.500  0.500
Na  0.500  0.000  0.500
Al  0.500  0.500  0.000
Pt  0.000  0.000  0.500


# 13
Material: Cu2Ag2B
Method: DFT, GGA-PBE
State: optimized geometry

The value obtained for the energy of formation from the pure elements is 0.40 eV/atom.

Unit cell a=5.497 b=5.497 c=4.588 alpha=90.00 beta=90.00 gamma=90.00
Sites, in units of the cell vectors:
Cu  0.164  0.336  0.000
Cu  0.336  0.836  0.000
Cu  0.664  0.164  0.000
Cu  0.836  0.664  0.000
Ag  0.174  0.674  0.500
Ag  0.326  0.174  0.500
Ag  0.674  0.826  0.500
Ag  0.826  0.326  0.500
B  0.000  0.000  0.000
B  0.500  0.500  0.000


# 14
Material: KIn2Pt
Method: DFT, GGA-PBE
State: optimized geometry

The value obtained for the energy of formation from the pure elements is -0.25 eV/atom.

Unit cell a=3.433 b=3.433 c=8.683 alpha=90.00 beta=90.00 gamma=90.00
Sites, in units of the cell vectors:
K  0.000  0.000  0.000
In  0.500  0.500  0.317
In  0.500  0.500  0.683
Pt  0.000  0.000  0.500


# 15
Material: SrBe3Al
Method: DFT, GGA-PBE
State: optimized geometry

The value obtained for the energy of formation from the pure elements is 2.19 eV/atom.

Unit cell a=5.459 b=5.459 c=5.459 alpha=90.00 beta=90.00 gamma=90.00
Sites, in units of the cell vectors:
Sr  0.000  0.000  0.000
Be  0.000  0.000  0.500
Be  0.000  0.500  0.000
Be  0.500  0.000  0.000
Al  0.500  0.500  0.500


# 16
Material: Gd2AlS
Method: DFT, GGA-PBE
State: optimized geometry

Unit cell a=3.868 b=3.868 c=22.864 alpha=90.00 beta=90.00 gamma=120.00
Sites, in units of the cell vectors:
Gd  0.000  0.000  0.241
Gd  0.000  0.000  0.759
Gd  0.333  0.667  0.426
Gd  0.333  0.667  0.907
Gd  0.667  0.333  0.093
Gd  0.667  0.333  0.574
Al  0.000  0.000  0.000
Al  0.333  0.667  0.667
Al  0.667  0.333  0.333
S  0.000  0.000  0.500
S  0.333  0.667  0.167
S  0.667  0.333  0.833


# 17
Material: LiHfIn2
Method: DFT, GGA-PBE
State: optimized geometry

The value obtained for the energy of formation from the pure elements is -0.11 eV/atom.

Unit cell a=3.186 b=3.186 c=29.703 alpha=90.00 beta=90.00 gamma=120.00
Sites, in units of the cell vectors:
Li  0.000  0.000  0.000
Li  0.333  0.667  0.667
Li  0.667  0.333  0.333
Hf  0.000  0.000  0.166
Hf  0.333  0.667  0.833
Hf  0.667  0.333  0.499
In  0.000  0.000  0.413
In  0.000  0.000  0.586
In  0.333  0.667  0.079
In  0.333  0.667  0.253
In  0.667  0.333  0.746
In  0.667  0.333  0.920


# 18
Material: BaAl2Zn4Ga
Method: DFT, GGA-PBE
State: optimized geometry

The value obtained for the energy of formation from the pure elements is -0.07 eV/atom.

Unit cell a=10.082 b=10.082 c=10.082 alpha=25.54 beta=25.54 gamma=25.54
Sites, in units of the cell vectors:
Ba  0.000  0.000  0.000
Al  0.237  0.237  0.237
Al  0.763  0.763  0.763
Zn  0.131  0.131  0.131
Zn  0.409  0.409  0.409
Zn  0.591  0.591  0.591
Zn  0.869  0.869  0.869
Ga  0.500  0.500  0.500


# 19
Material: Y2CuCl
Method: DFT, GGA-PBE
State: optimized geometry

Unit cell a=3.875 b=3.875 c=22.494 alpha=90.00 beta=90.00 gamma=120.00
Sites, in units of the cell vectors:
Y  0.000  0.000  0.000
Y  0.000  0.000  0.189
Y  0.333  0.667  0.667
Y  0.333  0.667  0.855
Y  0.667  0.333  0.333
Y  0.667  0.333  0.522
Cu  0.000  0.000  0.595
Cu  0.333  0.667  0.262
Cu  0.667  0.333  0.928
Cl  0.000  0.000  0.425
Cl  0.333  0.667  0.092
Cl  0.667  0.333  0.758


# 20
Material: MnCu4Au
Method: DFT, GGA-PBE
State: optimized geometry

The value obtained for the energy of formation from the pure elements is 0.05 eV/atom.

Unit cell a=2.824 b=3.418 c=8.371 alpha=90.00 beta=90.00 gamma=90.00
Sites, in units of the cell vectors:
Mn  0.000  0.000  0.000
Cu  0.000  0.000  0.314
Cu  0.000  0.000  0.686
Cu  0.500  0.500  0.162
Cu  0.500  0.500  0.838
Au  0.500  0.500  0.500


no.,electronic total energy (eV/atom),M_tot (μB/cell)
1,-6.911,0.00
2,-2.570,0.00
3,-3.809,0.00
4,-4.072,2.76
5,-6.022,0.00
6,-3.376,0.00
7,-2.402,4.38
8,-7.128,0.00
9,-2.140,1.62
10,-5.163,11.00
11,-5.842,0.00
12,-2.214,0.99
13,-3.715,0.00
14,-3.407,0.00
15,-1.130,0.00
16,-10.119,42.41
17,-4.446,0.00
18,-2.257,0.00
19,-5.420,0.00
20,-4.755,3.89